The following is a GGA-PBE calculation of an optimized crystal structure of CaTa2Mo, from Alexandria.

The density of states at the Fermi level is 3.68 states/eV per cell. The calculation puts the total energy at -8.653 eV per atom. Its formation energy is 481 meV per atom.

The structure belongs to space group P2/m (No. 10); the cell edges are 2.9824, 4.4793 and 6.3437 Å and the angles 90.00°, 99.70° and 90.00°. The distinct sites, in fractional coordinates, are Ca at (0.0000, 0.0000, 0.0000), Ta at (0.2769, 0.5000, 0.6926) and Mo at (0.5000, 0.0000, 0.5000).


The following is a GGA-PBE calculation of an optimized crystal structure of CsBaC2O6, from Alexandria.

The density of states at the Fermi level is 20.91 states/eV per cell. The calculation puts the total energy at -6.936 eV per atom. The calculation puts the formation energy (no corrections) at -1774 kJ/mol of formula units.

The structure belongs to space group C2/c (No. 15); the cell edges are 9.6833, 10.9011 and 8.0204 Å and the angles 90.00°, 113.50° and 90.00°. The distinct sites, in fractional coordinates, are Cs at (0.0000, 0.1298, 0.2500), Ba at (0.0000, 0.3919, 0.7500), C at (0.2338, 0.3821, 0.2572), O at (0.1039, 0.3848, 0.1202), O at (0.1830, 0.2142, 0.7110) and O at (0.2241, 0.0234, 0.6375).


The following is a GGA-PBE calculation of an optimized crystal structure of AgSb2Os, from Alexandria.

The density of states at the Fermi level is 2.65 states/eV per cell. The calculation puts the total energy at -5.241 eV per atom. As for the energy above the most stable polymorph in this dataset: 2.05 kJ per mole of atoms. The calculation puts the formation energy (no corrections) at 131 kJ/mol of formula units.

The structure belongs to space group P4/mmm (No. 123); the cell edges are 3.2021, 3.2021 and 8.1187 Å and the angles 90.00°, 90.00° and 90.00°. The distinct sites, in fractional coordinates, are Ag at (0.0000, 0.0000, 0.0000), Sb at (0.5000, 0.5000, 0.2884) and Os at (0.0000, 0.0000, 0.5000).